1.
Compound: MgNi3Ir
Source: the Alexandria database
Functional: PBEsol
Structure: optimized geometry

Structure (extended XYZ):
```
5
Lattice="4.094 0.000 0.000 0.000 4.094 0.000 0.000 0.000 4.094" Properties=species:S:1:pos:R:3 pbc="T T T"
Ni 2.047 0.000 0.000
Ni 0.000 2.047 0.000
Ni 0.000 0.000 2.047
Ir 2.047 2.047 2.047
Mg 0.000 0.000 0.000
```

Summary:
- Energy of formation: 726 kJ/mol of formula units

---

2.
Compound: MgNiIr2
Source: the Alexandria database
Functional: PBEsol
Structure: optimized geometry

Structure (extended XYZ):
```
4
Lattice="2.700 0.000 0.000 0.000 4.561 0.002 0.000 -1.374 4.349" Properties=species:S:1:pos:R:3 pbc="T T T"
Ni 1.350 1.594 2.176
Ir 0.000 2.281 0.001
Mg 1.350 0.000 0.000
Ir 0.000 -0.687 2.175
```

Summary:
- Energy of formation: -16 kJ/mol of formula units

---

3.
Compound: MgNiIr3
Source: the Alexandria database
Functional: PBEsol
Structure: optimized geometry

Structure (extended XYZ):
```
5
Lattice="4.375 0.000 0.000 0.000 4.375 0.000 0.000 0.000 4.375" Properties=species:S:1:pos:R:3 pbc="T T T"
Ir 0.000 2.188 0.000
Mg 0.000 0.000 0.000
Ir 2.188 0.000 0.000
Ir 0.000 0.000 2.188
Ni 2.188 2.188 2.188
```

Summary:
- Energy of formation: 1001 kJ/mol of formula units

---

4.
Compound: MgNiIr2
Source: the Alexandria database
Functional: PBEsol
Structure: optimized geometry

Structure (extended XYZ):
```
4
Lattice="-1.287 -0.148 -2.351 -0.976 -1.371 2.091 -4.921 6.946 2.257" Properties=species:S:1:pos:R:3 pbc="T T T"
Mg -2.416 3.409 1.108
Ir -4.818 4.443 1.560
Ni -2.356 0.969 0.431
Ir -0.055 0.078 0.025
```

Summary:
- Energy of formation: 80 kJ/mol of formula units

---

5.
Compound: MgNi2Ir
Source: the Alexandria database
Functional: PBEsol
Structure: optimized geometry

Structure (extended XYZ):
```
4
Lattice="2.648 0.000 0.000 0.000 3.626 0.000 0.000 0.000 5.304" Properties=species:S:1:pos:R:3 pbc="T T T"
Ni 0.000 0.000 0.070
Ni 1.324 1.813 1.313
Ir 0.000 0.000 2.531
Mg 1.324 1.813 4.043
```

Summary:
- Energy of formation: 3 kJ/mol of formula units

---

6.
Compound: MgNiIr2
Source: the Alexandria database
Functional: PBEsol
Structure: optimized geometry

Structure (extended XYZ):
```
4
Lattice="-1.533 -2.299 2.598 -2.080 -1.664 -2.700 4.558 -0.512 -0.532" Properties=species:S:1:pos:R:3 pbc="T T T"
Ir 0.336 -2.079 -1.641
Ir 0.610 -2.396 1.007
Ni 0.000 0.000 0.000
Mg -1.806 -1.981 -0.051
```

Summary:
- Energy of formation: 3 kJ/mol of formula units